1.
Zr4CdBiB2 | PBE | relaxed

CIF file:
```
data_Zr4CdBiB2
_chemical_formula_sum 'Zr4 Cd1 Bi1 B2'
_space_group_name_H-M_alt 'P -6 m 2'
_space_group_IT_number 187
_space_group_name_Hall 'P -6 2'
_cell_length_a 3.4872
_cell_length_b 3.4872
_cell_length_c 15.0867
_cell_angle_alpha 90.00
_cell_angle_beta 90.00
_cell_angle_gamma 120.00
loop_
_atom_site_label
_atom_site_fract_x
_atom_site_fract_y
_atom_site_fract_z
_atom_site_occupancy
Zr1 0.0000 0.0000 0.1627 1
Zr2 0.6667 0.3333 0.3337 1
Cd1 0.0000 0.0000 0.5000 1
Bi1 0.6667 0.3333 0.0000 1
B1 0.3333 0.6667 0.2472 1
```

Summary:
- Crystal system: hexagonal
- E: -55.89 eV/cell

=====

2.
Pr3Te2P | PBE | relaxed

CIF file:
```
data_Pr3Te2P
_chemical_formula_sum 'Pr3 Te2 P1'
_space_group_name_H-M_alt 'P -3 m 1'
_space_group_IT_number 164
_space_group_name_Hall '-P 3 2"'
_cell_length_a 4.3598
_cell_length_b 4.3598
_cell_length_c 11.1626
_cell_angle_alpha 90.00
_cell_angle_beta 90.00
_cell_angle_gamma 120.00
loop_
_atom_site_label
_atom_site_fract_x
_atom_site_fract_y
_atom_site_fract_z
_atom_site_occupancy
Pr1 0.0000 0.0000 0.0000 1
Pr2 0.3333 0.6667 0.3626 1
Te1 0.3333 0.6667 0.8241 1
P1 0.0000 0.0000 0.5000 1
```

Summary:
- Crystal system: trigonal
- E: -35.14 eV/cell

=====

3.
DySi2AgOs | PBE | relaxed

CIF file:
```
data_DySi2AgOs
_chemical_formula_sum 'Dy2 Si4 Ag2 Os2'
_space_group_name_H-M_alt 'I -4 m 2'
_space_group_IT_number 119
_space_group_name_Hall 'I -4 -2'
_cell_length_a 4.1192
_cell_length_b 4.1192
_cell_length_c 10.1833
_cell_angle_alpha 90.00
_cell_angle_beta 90.00
_cell_angle_gamma 90.00
loop_
_atom_site_label
_atom_site_fract_x
_atom_site_fract_y
_atom_site_fract_z
_atom_site_occupancy
Dy1 0.0000 0.0000 0.0000 1
Si1 0.0000 0.0000 0.3843 1
Ag1 0.0000 0.5000 0.2500 1
Os1 0.0000 0.5000 0.7500 1
```

Summary:
- Crystal system: tetragonal
- E: -63.04 eV/cell

=====

4.
LiAgTeWS2 | PBE | relaxed

CIF file:
```
data_LiAgTeWS2
_chemical_formula_sum 'Li4 Ag4 Te4 W4 S8'
_space_group_name_H-M_alt 'C m c m'
_space_group_IT_number 63
_space_group_name_Hall '-C 2c 2'
_cell_length_a 3.4035
_cell_length_b 13.5955
_cell_length_c 10.2637
_cell_angle_alpha 90.00
_cell_angle_beta 90.00
_cell_angle_gamma 90.00
loop_
_atom_site_label
_atom_site_fract_x
_atom_site_fract_y
_atom_site_fract_z
_atom_site_occupancy
Li1 0.0000 0.2200 0.2500 1
Ag1 0.0000 0.4402 0.7500 1
Te1 0.0000 0.1081 0.7500 1
W1 0.0000 0.0000 0.0000 1
S1 0.0000 0.3717 0.5349 1
```

Summary:
- Crystal system: orthorhombic
- E: -121.20 eV/cell

=====

5.
GdYHg2 | PBE | relaxed

CIF file:
```
data_GdYHg2
_chemical_formula_sum 'Gd4 Y4 Hg8'
_space_group_name_H-M_alt 'A m m 2'
_space_group_IT_number 38
_cell_length_a 5.1948
_cell_length_b 6.8407
_cell_length_c 11.8701
_cell_angle_alpha 90.00
_cell_angle_beta 90.00
_cell_angle_gamma 90.00
loop_
_space_group_symop_operation_xyz
'x,y,z'
'-x,-y,z'
'-x,y,z'
'x,-y,z'
'x,y+1/2,z+1/2'
'-x,-y+1/2,z+1/2'
'-x,y+1/2,z+1/2'
'x,-y+1/2,z+1/2'
loop_
_atom_site_label
_atom_site_fract_x
_atom_site_fract_y
_atom_site_fract_z
_atom_site_occupancy
Gd1 0.0000 0.0000 0.0000 1
Gd2 0.5000 0.0000 0.3639 1
Y1 0.0000 0.2365 0.7442 1
Hg1 0.0000 0.0000 0.5007 1
Hg2 0.5000 0.0000 0.8356 1
Hg3 0.5000 0.2462 0.0963 1
```

Summary:
- Crystal system: orthorhombic
- Energy of formation from the pure elements: -0.29 eV per atom

=====

6.
CsHf3Sb5 | PBE | relaxed

CIF file:
```
data_CsHf3Sb5
_chemical_formula_sum 'Cs1 Hf3 Sb5'
_space_group_name_H-M_alt 'P 6/m m m'
_space_group_IT_number 191
_space_group_name_Hall '-P 6 2'
_cell_length_a 6.0065
_cell_length_b 6.0065
_cell_length_c 9.2112
_cell_angle_alpha 90.00
_cell_angle_beta 90.00
_cell_angle_gamma 120.00
loop_
_atom_site_label
_atom_site_fract_x
_atom_site_fract_y
_atom_site_fract_z
_atom_site_occupancy
Cs1 0.0000 0.0000 0.0000 1
Hf1 0.0000 0.5000 0.5000 1
Sb1 0.0000 0.0000 0.5000 1
Sb2 0.3333 0.6667 0.2346 1
```

Summary:
- Crystal system: hexagonal
- E: -54.64 eV/cell

=====

7.
Y3Pd4 | PBE | relaxed

CIF file:
```
data_Y3Pd4
_chemical_formula_sum 'Y18 Pd24'
_space_group_name_H-M_alt 'R -3'
_space_group_IT_number 148
_space_group_name_Hall '-R 3'
_cell_length_a 13.2423
_cell_length_b 13.2423
_cell_length_c 5.7572
_cell_angle_alpha 90.00
_cell_angle_beta 90.00
_cell_angle_gamma 120.00
loop_
_atom_site_label
_atom_site_fract_x
_atom_site_fract_y
_atom_site_fract_z
_atom_site_occupancy
Y1 0.0415 0.2107 0.2345 1
Pd1 0.0000 0.0000 0.0000 1
Pd2 0.0000 0.0000 0.5000 1
Pd3 0.0530 0.2706 0.7186 1
```

Summary:
- Crystal system: trigonal
- Energy of formation from the pure elements: -0.92 eV per atom

=====

8.
ZnW | PBE | relaxed

CIF file:
```
data_ZnW
_chemical_formula_sum 'Zn4 W4'
_space_group_name_H-M_alt 'P -6 m 2'
_space_group_IT_number 187
_space_group_name_Hall 'P -6 2'
_cell_length_a 5.5729
_cell_length_b 5.5729
_cell_length_c 4.5555
_cell_angle_alpha 90.00
_cell_angle_beta 90.00
_cell_angle_gamma 120.00
loop_
_atom_site_label
_atom_site_fract_x
_atom_site_fract_y
_atom_site_fract_z
_atom_site_occupancy
Zn1 0.0000 0.0000 0.0000 1
Zn2 0.1715 0.3429 0.5000 1
W1 0.0096 0.5048 0.0000 1
W2 0.6667 0.3333 0.5000 1
```

Summary:
- Crystal system: hexagonal
- Energy of formation from the pure elements: 0.30 eV per atom

=====

9.
Hf3Zr3Ga2Co | PBE | relaxed

CIF file:
```
data_Hf3Zr3Ga2Co
_chemical_formula_sum 'Hf3 Zr3 Ga2 Co1'
_space_group_name_H-M_alt 'P -6 2 m'
_space_group_IT_number 189
_space_group_name_Hall 'P -6 -2'
_cell_length_a 7.7904
_cell_length_b 7.7904
_cell_length_c 3.3481
_cell_angle_alpha 90.00
_cell_angle_beta 90.00
_cell_angle_gamma 120.00
loop_
_atom_site_label
_atom_site_fract_x
_atom_site_fract_y
_atom_site_fract_z
_atom_site_occupancy
Hf1 0.0000 0.2474 0.0000 1
Zr1 0.0000 0.5974 0.5000 1
Ga1 0.3333 0.6667 0.0000 1
Co1 0.0000 0.0000 0.5000 1
```

Summary:
- Crystal system: hexagonal
- E: -72.45 eV/cell

=====

10.
HfZrSc2 | PBE | relaxed

CIF file:
```
data_HfZrSc2
_chemical_formula_sum 'Hf4 Zr4 Sc8'
_space_group_name_H-M_alt 'F -4 3 m'
_space_group_IT_number 216
_space_group_name_Hall 'F -4 2 3'
_cell_length_a 7.1564
_cell_length_b 7.1564
_cell_length_c 7.1564
_cell_angle_alpha 90.00
_cell_angle_beta 90.00
_cell_angle_gamma 90.00
loop_
_atom_site_label
_atom_site_fract_x
_atom_site_fract_y
_atom_site_fract_z
_atom_site_occupancy
Hf1 0.0000 0.0000 0.0000 1
Zr1 0.2500 0.2500 0.7500 1
Sc1 0.0000 0.0000 0.5000 1
Sc2 0.2500 0.2500 0.2500 1
```

Summary:
- Crystal system: cubic
- Energy of formation from the pure elements: 0.16 eV per atom

=====

11.
Zr4ScOs5 | PBE | relaxed

CIF file:
```
data_Zr4ScOs5
_chemical_formula_sum 'Zr4 Sc1 Os5'
_space_group_name_H-M_alt 'P 4/m m m'
_space_group_IT_number 123
_space_group_name_Hall '-P 4 2'
_cell_length_a 3.2704
_cell_length_b 3.2704
_cell_length_c 16.3525
_cell_angle_alpha 90.00
_cell_angle_beta 90.00
_cell_angle_gamma 90.00
loop_
_atom_site_label
_atom_site_fract_x
_atom_site_fract_y
_atom_site_fract_z
_atom_site_occupancy
Zr1 0.0000 0.0000 0.1013 1
Zr2 0.0000 0.0000 0.3042 1
Sc1 0.0000 0.0000 0.5000 1
Os1 0.5000 0.5000 0.0000 1
Os2 0.5000 0.5000 0.2004 1
Os3 0.5000 0.5000 0.4000 1
```

Summary:
- Crystal system: tetragonal
- Energy of formation from the pure elements: -0.52 eV per atom

=====

12.
GdHoEr2Tl2 | PBE | relaxed

CIF file:
```
data_GdHoEr2Tl2
_chemical_formula_sum 'Gd1 Ho1 Er2 Tl2'
_space_group_name_H-M_alt 'P -6 m 2'
_space_group_IT_number 187
_space_group_name_Hall 'P -6 2'
_cell_length_a 5.3787
_cell_length_b 5.3787
_cell_length_c 6.6700
_cell_angle_alpha 90.00
_cell_angle_beta 90.00
_cell_angle_gamma 120.00
loop_
_atom_site_label
_atom_site_fract_x
_atom_site_fract_y
_atom_site_fract_z
_atom_site_occupancy
Gd1 0.0000 0.0000 0.0000 1
Ho1 0.6667 0.3333 0.5000 1
Er1 0.3333 0.6667 0.2533 1
Tl1 0.0000 0.0000 0.5000 1
Tl2 0.6667 0.3333 0.0000 1
```

Summary:
- Crystal system: hexagonal
- E: -24.60 eV/cell

=====

Repeat the seventh record exactly.
Y3Pd4 | PBE | relaxed

CIF file:
```
data_Y3Pd4
_chemical_formula_sum 'Y18 Pd24'
_space_group_name_H-M_alt 'R -3'
_space_group_IT_number 148
_space_group_name_Hall '-R 3'
_cell_length_a 13.2423
_cell_length_b 13.2423
_cell_length_c 5.7572
_cell_angle_alpha 90.00
_cell_angle_beta 90.00
_cell_angle_gamma 120.00
loop_
_atom_site_label
_atom_site_fract_x
_atom_site_fract_y
_atom_site_fract_z
_atom_site_occupancy
Y1 0.0415 0.2107 0.2345 1
Pd1 0.0000 0.0000 0.0000 1
Pd2 0.0000 0.0000 0.5000 1
Pd3 0.0530 0.2706 0.7186 1
```

Summary:
- Crystal system: trigonal
- Energy of formation from the pure elements: -0.92 eV per atom

=====

Please write out number 2 again, unchanged.
Pr3Te2P | PBE | relaxed

CIF file:
```
data_Pr3Te2P
_chemical_formula_sum 'Pr3 Te2 P1'
_space_group_name_H-M_alt 'P -3 m 1'
_space_group_IT_number 164
_space_group_name_Hall '-P 3 2"'
_cell_length_a 4.3598
_cell_length_b 4.3598
_cell_length_c 11.1626
_cell_angle_alpha 90.00
_cell_angle_beta 90.00
_cell_angle_gamma 120.00
loop_
_atom_site_label
_atom_site_fract_x
_atom_site_fract_y
_atom_site_fract_z
_atom_site_occupancy
Pr1 0.0000 0.0000 0.0000 1
Pr2 0.3333 0.6667 0.3626 1
Te1 0.3333 0.6667 0.8241 1
P1 0.0000 0.0000 0.5000 1
```

Summary:
- Crystal system: trigonal
- E: -35.14 eV/cell